First-principles (PBE) data for a relaxed CsCd2 crystal, as listed in Alexandria.

a b c (Å): 7.295 7.295 7.295
angles (deg): 146.59 146.59 47.98
Element x y z (fractional)
Cs 0.000 0.000 0.000
Cd 0.286 0.286 0.000
Cd 0.714 0.714 0.000

Energy: -0.903 eV/atom
Crystal system: tetragonal
Volume: 117.3 Å³/cell
Magnetic moment: 0.0 μB per cell
Space group: I4/mmm, No. 139

First-principles (PBE) data for a relaxed LiPuPaN3 crystal, as listed in Alexandria.

a b c (Å): 6.819 3.413 7.275
angles (deg): 90.00 100.54 90.00
Element x y z (fractional)
Li 0.081 0.250 0.073
Li 0.919 0.750 0.927
Pu 0.288 0.750 0.826
Pu 0.712 0.250 0.174
Pa 0.303 0.750 0.342
Pa 0.697 0.250 0.658
N 0.016 0.250 0.802
N 0.355 0.250 0.570
N 0.366 0.250 0.134
N 0.634 0.750 0.866
N 0.645 0.750 0.430
N 0.984 0.750 0.198

Crystal system: monoclinic
Volume: 166.5 Å³/cell
Formation energy (no corrections): -1.12 eV per atom
Magnetic moment: 10.0 μB per cell
Space group: P2_1/m, No. 11

First-principles (PBE) data for a relaxed Sc2BN crystal, as listed in Alexandria.

a b c (Å): 4.133 4.133 4.133
angles (deg): 60.00 60.00 60.00
Element x y z (fractional)
Sc 0.250 0.250 0.250
Sc 0.750 0.750 0.750
B 0.000 0.000 0.000
N 0.500 0.500 0.500

Excess energy over the best structure of this formula in the dataset: 0.501 eV/atom
Crystal system: cubic
Volume: 49.9 Å³/cell
Formation energy (no corrections): -0.02 eV per atom
Magnetic moment: 0.0 μB per cell
Space group: Fm-3m, No. 225

First-principles (PBE) data for a relaxed Ti3CO crystal, as listed in Alexandria.

a b c (Å): 6.763 6.763 5.256
angles (deg): 96.07 96.07 84.28
Element x y z (fractional)
Ti 0.056 0.215 0.628
Ti 0.124 0.630 0.895
Ti 0.215 0.056 0.128
Ti 0.293 0.452 0.354
Ti 0.370 0.876 0.605
Ti 0.452 0.293 0.854
Ti 0.548 0.707 0.146
Ti 0.630 0.124 0.395
Ti 0.707 0.548 0.646
Ti 0.785 0.944 0.872
Ti 0.876 0.370 0.105
Ti 0.944 0.785 0.372
C 0.168 0.337 0.993
C 0.337 0.168 0.493
C 0.663 0.832 0.507
C 0.832 0.663 0.007
O 0.078 0.922 0.750
O 0.248 0.752 0.250
O 0.752 0.248 0.750
O 0.922 0.078 0.250

Excess energy over the best structure of this formula in the dataset: 0.000 eV/atom
Crystal system: monoclinic
Volume: 236.8 Å³/cell
Formation energy (no corrections): -1.42 eV per atom
Magnetic moment: 0.0 μB per cell
Space group: C2/c, No. 15

First-principles (PBE) data for a relaxed Dy4Sn crystal, as listed in Alexandria.

a b c (Å): 5.740 5.740 5.740
angles (deg): 90.00 90.00 90.00
Element x y z (fractional)
Dy 0.000 0.000 0.000
Dy 0.000 0.500 0.500
Dy 0.500 0.000 0.500
Dy 0.500 0.500 0.000
Sn 0.500 0.500 0.500

Energy: -4.203 eV/atom
Crystal system: cubic
Volume: 189.1 Å³/cell
Magnetic moment: 1.4 μB per cell
Space group: Pm-3m, No. 221

First-principles (PBE) data for a relaxed Pr7SnBr12 crystal, as listed in Alexandria.

a b c (Å): 9.677 9.677 9.677
angles (deg): 108.39 108.39 108.39
Element x y z (fractional)
Pr 0.000 0.000 0.000
Pr 0.157 0.381 0.457
Pr 0.381 0.457 0.157
Pr 0.457 0.157 0.381
Pr 0.543 0.843 0.619
Pr 0.619 0.543 0.843
Pr 0.843 0.619 0.543
Sn 0.500 0.500 0.500
Br 0.025 0.338 0.106
Br 0.106 0.025 0.338
Br 0.195 0.727 0.578
Br 0.273 0.422 0.805
Br 0.338 0.106 0.025
Br 0.422 0.805 0.273
Br 0.578 0.195 0.727
Br 0.662 0.894 0.975
Br 0.727 0.578 0.195
Br 0.805 0.273 0.422
Br 0.894 0.975 0.662
Br 0.975 0.662 0.894

Crystal system: trigonal
Volume: 724.4 Å³/cell
Formation energy (no corrections): -1.60 eV per atom
Magnetic moment: 0.0 μB per cell
Space group: R-3, No. 148

First-principles (PBE) data for a relaxed TaIn2Tc2 crystal, as listed in Alexandria.

a b c (Å): 7.428 7.428 7.428
angles (deg): 150.93 150.93 41.58
Element x y z (fractional)
Ta 0.000 0.000 0.000
In 0.250 0.750 0.500
In 0.750 0.250 0.500
Tc 0.410 0.410 0.000
Tc 0.590 0.590 0.000

Excess energy over the best structure of this formula in the dataset: 0.343 eV/atom
Crystal system: tetragonal
Volume: 96.5 Å³/cell
Magnetic moment: 0.0 μB per cell
Space group: I4/mmm, No. 139

First-principles (PBE) data for a relaxed AcGa4CuAg2 crystal, as listed in Alexandria.

a b c (Å): 9.525 9.525 9.525
angles (deg): 27.41 27.41 27.41
Element x y z (fractional)
Ac 0.000 0.000 0.000
Ga 0.132 0.132 0.132
Ga 0.406 0.406 0.406
Ga 0.594 0.594 0.594
Ga 0.868 0.868 0.868
Cu 0.500 0.500 0.500
Ag 0.238 0.238 0.238
Ag 0.762 0.762 0.762

Energy: -3.452 eV/atom
Crystal system: trigonal
Volume: 161.6 Å³/cell
Magnetic moment: 0.0 μB per cell
Space group: R-3m, No. 166